[1]
KCaTl6: optimized geometry, PBE.

Values from the calculation:
Theoretical density: 8.8 g cm⁻³
VASP energy: -2.2931 eV per atom
Magnetic moment: 0.0 μB per cell
Energy relative to the elements: -1.0 eV/f.u.

a b c (Å): 5.771 7.008 12.124
angles (deg): 90.00 90.00 90.00
Space group Amm2 (No. 38)
Symmetry-distinct sites (fractional):
K  0.000  0.000  0.000 (multiplicity 2)
Ca  0.500  0.000  0.667 (multiplicity 2)
Tl  0.000  0.000  0.498 (multiplicity 2)
Tl  0.000  0.246  0.251 (multiplicity 4)
Tl  0.500  0.000  0.172 (multiplicity 2)
Tl  0.500  0.243  0.415 (multiplicity 4)

=====

[2]
Sr2PuSi3Au12: optimized geometry, PBE.

Values from the calculation:
Energy relative to the elements, uncorrected: -0.13 eV per atom
Theoretical density: 10.7 g cm⁻³
VASP energy: -4.2065 eV per atom
Magnetic moment: 16.6 μB per cell

a b c (Å): 8.9162 8.9162 19.3410
angles (deg): 90.00 90.00 120.00
Space group R-3m (No. 166, hexagonal axes)
Symmetry-distinct sites (fractional):
Sr  0.0000  0.0000  0.0973 (multiplicity 6)
Pu  0.0000  0.0000  0.5000 (multiplicity 3)
Si  0.0000  0.5000  0.0000 (multiplicity 9)
Au  0.0335  0.5168  0.8728 (multiplicity 18)
Au  0.0347  0.5173  0.3297 (multiplicity 18)

=====

[3]
Dy2AlSi3Pt4: optimized geometry, PBE.

Values from the calculation:
Energy relative to the elements, uncorrected: -1.13 eV per atom
Theoretical density: 11.5 g cm⁻³
VASP energy: -6.4668 eV per atom
Magnetic moment: 0.0 μB per cell

a b c (Å): 4.178 4.178 10.085
angles (deg): 90.00 90.00 90.00
Space group P-4m2 (No. 115)
Symmetry-distinct sites (fractional):
Dy  0.000  0.500  0.250 (multiplicity 2)
Al  0.000  0.000  0.500 (multiplicity 1)
Si  0.000  0.500  0.868 (multiplicity 2)
Si  0.500  0.500  0.500 (multiplicity 1)
Pt  0.000  0.000  0.000 (multiplicity 1)
Pt  0.000  0.500  0.634 (multiplicity 2)
Pt  0.500  0.500  0.000 (multiplicity 1)

=====

[4]
Zr5CdRh4: optimized geometry, PBE.

Values from the calculation:
Theoretical density: 8.6 g cm⁻³
VASP energy: -7.9239 eV per atom
Magnetic moment: 0.0 μB per cell
Energy relative to the elements: -6.2 eV/f.u.

a b c (Å): 3.247 3.247 17.865
angles (deg): 90.00 90.00 90.00
Space group P4/mmm (No. 123)
Symmetry-distinct sites (fractional):
Zr  0.000  0.000  0.000 (multiplicity 1)
Zr  0.000  0.000  0.190 (multiplicity 2)
Zr  0.000  0.000  0.379 (multiplicity 2)
Cd  0.500  0.500  0.500 (multiplicity 1)
Rh  0.500  0.500  0.095 (multiplicity 2)
Rh  0.500  0.500  0.282 (multiplicity 2)